1.
Computed, not measured: a relaxed KBiW2O8 crystal at the GGA-PBEsol level of DFT.

Unit cell a=7.591 b=7.591 c=7.539 alpha=117.83 beta=117.83 gamma=89.04
Fractional coordinates of all 24 atoms:
K1 0.209 0.791 0.750
K2 0.791 0.209 0.250
Bi1 0.225 0.775 0.250
Bi2 0.775 0.225 0.750
W1 0.303 0.306 0.269
W2 0.306 0.303 0.769
W3 0.694 0.697 0.231
W4 0.697 0.694 0.731
O1 0.045 0.211 0.681
O2 0.067 0.382 0.134
O3 0.211 0.045 0.181
O4 0.245 0.374 0.552
O5 0.372 0.587 0.024
O6 0.374 0.245 0.052
O7 0.382 0.067 0.634
O8 0.413 0.628 0.476
O9 0.587 0.372 0.524
O10 0.618 0.933 0.366
O11 0.626 0.755 0.948
O12 0.628 0.413 0.976
O13 0.755 0.626 0.448
O14 0.789 0.955 0.819
O15 0.933 0.618 0.866
O16 0.955 0.789 0.319

**DOS at the Fermi energy**: 0.00 states/eV/cell
**Formation energy without anion corrections**: -2.02 eV per atom
**M_tot**: 0.0 μB/cell
**Space-group type**: No. 15
**Crystal system**: monoclinic



2.
Computed, not measured: a relaxed KSrBiOs2 crystal at the GGA-PBEsol level of DFT.

Unit cell a=5.066 b=5.066 c=5.902 alpha=90.00 beta=90.00 gamma=90.00
Fractional coordinates of all 5 atoms:
K1 0.000 0.000 0.000
Sr1 0.500 0.500 0.500
Bi1 0.500 0.500 0.000
Os1 0.000 0.500 0.500
Os2 0.500 0.000 0.500

**DOS at the Fermi energy**: 7.11 states/eV/cell
**M_tot**: 2.0 μB/cell
**Calculated formation energy**: 2.49 eV per atom
**Space-group type**: No. 123
**Crystal system**: tetragonal



3.
Computed, not measured: a relaxed KBiP2Se6 crystal at the GGA-PBEsol level of DFT.

Unit cell a=6.866 b=7.532 c=10.251 alpha=90.00 beta=91.86 gamma=90.00
Fractional coordinates of all 20 atoms:
K1 0.198 0.000 0.497
K2 0.802 0.500 0.503
Bi1 0.288 0.224 0.986
Bi2 0.712 0.724 0.014
P1 0.188 0.710 0.825
P2 0.298 0.484 0.703
P3 0.702 0.984 0.297
P4 0.812 0.210 0.175
Se1 0.080 0.277 0.732
Se2 0.086 0.307 0.261
Se3 0.146 0.587 0.021
Se4 0.326 0.571 0.505
Se5 0.429 0.907 0.823
Se6 0.435 0.895 0.184
Se7 0.565 0.395 0.816
Se8 0.571 0.407 0.177
Se9 0.674 0.071 0.495
Se10 0.854 0.087 0.979
Se11 0.914 0.807 0.739
Se12 0.920 0.777 0.268

**DOS at the Fermi energy**: 0.00 states/eV/cell
**Formation energy without anion corrections**: -0.39 eV per atom
**M_tot**: 0.0 μB/cell
**Space-group type**: No. 4
**Crystal system**: monoclinic



4.
Computed, not measured: a relaxed KBiP2Se6 crystal at the GGA-PBEsol level of DFT.

Unit cell a=12.312 b=7.481 c=12.343 alpha=90.00 beta=110.85 gamma=90.00
Fractional coordinates of all 40 atoms:
K1 0.089 0.079 0.366
K2 0.089 0.421 0.866
K3 0.911 0.579 0.134
K4 0.911 0.921 0.634
Bi1 0.384 0.643 0.663
Bi2 0.384 0.857 0.163
Bi3 0.616 0.143 0.837
Bi4 0.616 0.357 0.337
P1 0.264 0.133 0.697
P2 0.264 0.367 0.197
P3 0.264 0.593 0.317
P4 0.264 0.907 0.817
P5 0.736 0.093 0.183
P6 0.736 0.407 0.683
P7 0.736 0.633 0.803
P8 0.736 0.867 0.303
Se1 0.091 0.243 0.619
Se2 0.091 0.257 0.119
Se3 0.165 0.696 0.697
Se4 0.165 0.804 0.197
Se5 0.193 0.004 0.945
Se6 0.193 0.496 0.445
Se7 0.339 0.010 0.574
Se8 0.339 0.490 0.074
Se9 0.387 0.175 0.316
Se10 0.387 0.325 0.816
Se11 0.448 0.689 0.388
Se12 0.448 0.811 0.888
Se13 0.552 0.189 0.112
Se14 0.552 0.311 0.612
Se15 0.613 0.675 0.184
Se16 0.613 0.825 0.684
Se17 0.661 0.510 0.926
Se18 0.661 0.990 0.426
Se19 0.807 0.504 0.555
Se20 0.807 0.996 0.055
Se21 0.835 0.196 0.803
Se22 0.835 0.304 0.303
Se23 0.909 0.743 0.881
Se24 0.909 0.757 0.381

**Formation energy without anion corrections**: -0.39 eV per atom
**M_tot**: 0.0 μB/cell
**Space-group type**: No. 14
**Crystal system**: monoclinic



5.
Computed, not measured: a relaxed KBiPb crystal at the GGA-PBEsol level of DFT.

Unit cell a=6.457 b=6.850 c=9.343 alpha=90.00 beta=90.00 gamma=90.00
Fractional coordinates of all 12 atoms:
K1 0.000 0.250 0.127
K2 0.000 0.750 0.873
K3 0.500 0.250 0.373
K4 0.500 0.750 0.627
Bi1 0.000 0.000 0.500
Bi2 0.000 0.500 0.500
Bi3 0.500 0.000 0.000
Bi4 0.500 0.500 0.000
Pb1 0.250 0.250 0.750
Pb2 0.250 0.750 0.250
Pb3 0.750 0.250 0.750
Pb4 0.750 0.750 0.250

**DOS at the Fermi energy**: 0.42 states/eV/cell
**M_tot**: 0.0 μB/cell
**Calculated formation energy**: -0.29 eV per atom
**Space-group type**: No. 74
**Crystal system**: orthorhombic



6.
Computed, not measured: a relaxed KBi2Pb2 crystal at the GGA-PBEsol level of DFT.

Unit cell a=5.213 b=5.213 c=13.906 alpha=90.00 beta=90.00 gamma=90.00
Fractional coordinates of all 10 atoms:
K1 0.000 0.000 0.000
K2 0.500 0.500 0.500
Bi1 0.000 0.000 0.385
Bi2 0.000 0.000 0.615
Bi3 0.500 0.500 0.115
Bi4 0.500 0.500 0.885
Pb1 0.000 0.500 0.250
Pb2 0.000 0.500 0.750
Pb3 0.500 0.000 0.250
Pb4 0.500 0.000 0.750

**DOS at the Fermi energy**: 4.34 states/eV/cell
**M_tot**: 0.0 μB/cell
**Calculated formation energy**: -0.13 eV per atom
**Space-group type**: No. 139
**Crystal system**: tetragonal



7.
Computed, not measured: a relaxed K2BiPd crystal at the GGA-PBEsol level of DFT.

Unit cell a=7.836 b=7.836 c=7.836 alpha=90.00 beta=90.00 gamma=90.00
Fractional coordinates of all 16 atoms:
K1 0.250 0.250 0.250
K2 0.250 0.250 0.750
K3 0.250 0.750 0.250
K4 0.250 0.750 0.750
K5 0.750 0.250 0.250
K6 0.750 0.250 0.750
K7 0.750 0.750 0.250
K8 0.750 0.750 0.750
Bi1 0.000 0.000 0.000
Bi2 0.000 0.500 0.500
Bi3 0.500 0.000 0.500
Bi4 0.500 0.500 0.000
Pd1 0.000 0.000 0.500
Pd2 0.000 0.500 0.000
Pd3 0.500 0.000 0.000
Pd4 0.500 0.500 0.500

**DOS at the Fermi energy**: 13.21 states/eV/cell
**M_tot**: 0.0 μB/cell
**Calculated formation energy**: 0.25 eV per atom
**Space-group type**: No. 225
**Crystal system**: cubic



8.
Computed, not measured: a relaxed KBi2Pd2 crystal at the GGA-PBEsol level of DFT.

Unit cell a=8.421 b=8.421 c=3.267 alpha=90.00 beta=90.00 gamma=90.00
Fractional coordinates of all 10 atoms:
K1 0.000 0.000 0.000
K2 0.500 0.500 0.000
Bi1 0.153 0.347 0.500
Bi2 0.347 0.847 0.500
Bi3 0.653 0.153 0.500
Bi4 0.847 0.653 0.500
Pd1 0.130 0.630 0.000
Pd2 0.370 0.130 0.000
Pd3 0.630 0.870 0.000
Pd4 0.870 0.370 0.000

**DOS at the Fermi energy**: 4.95 states/eV/cell
**M_tot**: 0.0 μB/cell
**Calculated formation energy**: -0.25 eV per atom
**Space-group type**: No. 127
**Crystal system**: tetragonal



9.
Computed, not measured: a relaxed K2Bi2Pt crystal at the GGA-PBEsol level of DFT.

Unit cell a=7.240 b=7.240 c=5.836 alpha=90.00 beta=90.00 gamma=90.00
Fractional coordinates of all 10 atoms:
K1 0.171 0.329 0.000
K2 0.329 0.829 0.000
K3 0.671 0.171 0.000
K4 0.829 0.671 0.000
Bi1 0.150 0.650 0.500
Bi2 0.350 0.150 0.500
Bi3 0.650 0.850 0.500
Bi4 0.850 0.350 0.500
Pt1 0.000 0.000 0.500
Pt2 0.500 0.500 0.500

**DOS at the Fermi energy**: 6.40 states/eV/cell
**M_tot**: 0.0 μB/cell
**Calculated formation energy**: -0.27 eV per atom
**Space-group type**: No. 127
**Crystal system**: tetragonal



10.
Computed, not measured: a relaxed KBi3Pt crystal at the GGA-PBEsol level of DFT.

Unit cell a=5.501 b=5.501 c=5.501 alpha=90.00 beta=90.00 gamma=90.00
Fractional coordinates of all 5 atoms:
K1 0.000 0.000 0.000
Bi1 0.000 0.500 0.500
Bi2 0.500 0.000 0.500
Bi3 0.500 0.500 0.000
Pt1 0.500 0.500 0.500

**DOS at the Fermi energy**: 3.46 states/eV/cell
**M_tot**: 0.0 μB/cell
**Calculated formation energy**: 0.06 eV per atom
**Space-group type**: No. 221
**Crystal system**: cubic



11.
Computed, not measured: a relaxed KRb3Bi crystal at the GGA-PBEsol level of DFT.

Unit cell a=7.190 b=7.190 c=7.190 alpha=90.00 beta=90.00 gamma=90.00
Fractional coordinates of all 5 atoms:
K1 0.000 0.000 0.000
Rb1 0.000 0.500 0.500
Rb2 0.500 0.000 0.500
Rb3 0.500 0.500 0.000
Bi1 0.500 0.500 0.500

**DOS at the Fermi energy**: 5.34 states/eV/cell
**M_tot**: 0.7 μB/cell
**Calculated formation energy**: -0.10 eV per atom
**Space-group type**: No. 221
**Crystal system**: cubic



12.
Computed, not measured: a relaxed KRb2Bi2 crystal at the GGA-PBEsol level of DFT.

Unit cell a=9.222 b=9.222 c=5.383 alpha=90.00 beta=90.00 gamma=90.00
Fractional coordinates of all 10 atoms:
K1 0.000 0.000 0.000
K2 0.500 0.500 0.000
Rb1 0.172 0.328 0.500
Rb2 0.328 0.828 0.500
Rb3 0.672 0.172 0.500
Rb4 0.828 0.672 0.500
Bi1 0.114 0.614 0.000
Bi2 0.386 0.114 0.000
Bi3 0.614 0.886 0.000
Bi4 0.886 0.386 0.000

**DOS at the Fermi energy**: 9.41 states/eV/cell
**M_tot**: 0.0 μB/cell
**Calculated formation energy**: -0.28 eV per atom
**Space-group type**: No. 127
**Crystal system**: tetragonal



13.
Computed, not measured: a relaxed K2RbBi2 crystal at the GGA-PBEsol level of DFT.

Unit cell a=9.348 b=9.348 c=4.969 alpha=90.00 beta=90.00 gamma=90.00
Fractional coordinates of all 10 atoms:
K1 0.170 0.330 0.000
K2 0.330 0.830 0.000
K3 0.670 0.170 0.000
K4 0.830 0.670 0.000
Rb1 0.000 0.000 0.500
Rb2 0.500 0.500 0.500
Bi1 0.112 0.612 0.500
Bi2 0.388 0.112 0.500
Bi3 0.612 0.888 0.500
Bi4 0.888 0.388 0.500

**DOS at the Fermi energy**: 8.47 states/eV/cell
**M_tot**: 0.0 μB/cell
**Calculated formation energy**: -0.29 eV per atom
**Space-group type**: No. 127
**Crystal system**: tetragonal



14.
Computed, not measured: a relaxed K2RbBiSe3 crystal at the GGA-PBEsol level of DFT.

Unit cell a=9.818 b=9.818 c=9.818 alpha=90.00 beta=90.00 gamma=90.00
Fractional coordinates of all 28 atoms:
K1 0.180 0.320 0.680
K2 0.186 0.686 0.814
K3 0.314 0.314 0.314
K4 0.320 0.680 0.180
K5 0.680 0.180 0.320
K6 0.686 0.814 0.186
K7 0.814 0.186 0.686
K8 0.820 0.820 0.820
Rb1 0.072 0.072 0.072
Rb2 0.428 0.928 0.572
Rb3 0.572 0.428 0.928
Rb4 0.928 0.572 0.428
Bi1 0.034 0.966 0.466
Bi2 0.466 0.034 0.966
Bi3 0.534 0.534 0.534
Bi4 0.966 0.466 0.034
Se1 0.002 0.226 0.393
Se2 0.107 0.998 0.726
Se3 0.226 0.393 0.002
Se4 0.274 0.607 0.502
Se5 0.393 0.002 0.226
Se6 0.498 0.774 0.893
Se7 0.502 0.274 0.607
Se8 0.607 0.502 0.274
Se9 0.726 0.107 0.998
Se10 0.774 0.893 0.498
Se11 0.893 0.498 0.774
Se12 0.998 0.726 0.107

**DOS at the Fermi energy**: 0.00 states/eV/cell
**Formation energy without anion corrections**: -0.93 eV per atom
**M_tot**: 0.0 μB/cell
**Space-group type**: No. 198
**Crystal system**: cubic



15.
Computed, not measured: a relaxed K3BiRh crystal at the GGA-PBEsol level of DFT.

Unit cell a=6.595 b=6.595 c=6.595 alpha=90.00 beta=90.00 gamma=90.00
Fractional coordinates of all 5 atoms:
K1 0.000 0.000 0.500
K2 0.000 0.500 0.000
K3 0.500 0.000 0.000
Bi1 0.000 0.000 0.000
Rh1 0.500 0.500 0.500

**DOS at the Fermi energy**: 13.32 states/eV/cell
**M_tot**: 3.1 μB/cell
**Calculated formation energy**: 0.95 eV per atom
**Space-group type**: No. 221
**Crystal system**: cubic



16.
Computed, not measured: a relaxed KBi3Ru crystal at the GGA-PBEsol level of DFT.

Unit cell a=5.340 b=5.340 c=5.340 alpha=90.00 beta=90.00 gamma=90.00
Fractional coordinates of all 5 atoms:
K1 0.000 0.000 0.000
Bi1 0.000 0.500 0.500
Bi2 0.500 0.000 0.500
Bi3 0.500 0.500 0.000
Ru1 0.500 0.500 0.500

**DOS at the Fermi energy**: 4.08 states/eV/cell
**M_tot**: 0.0 μB/cell
**Calculated formation energy**: 0.25 eV per atom
**Space-group type**: No. 221
**Crystal system**: cubic



17.
Computed, not measured: a relaxed KBi3S crystal at the GGA-PBEsol level of DFT.

Unit cell a=5.471 b=5.471 c=5.471 alpha=90.00 beta=90.00 gamma=90.00
Fractional coordinates of all 5 atoms:
K1 0.000 0.000 0.000
Bi1 0.000 0.500 0.500
Bi2 0.500 0.000 0.500
Bi3 0.500 0.500 0.000
S1 0.500 0.500 0.500

**DOS at the Fermi energy**: 4.75 states/eV/cell
**Formation energy without anion corrections**: 0.08 eV per atom
**M_tot**: 0.0 μB/cell
**Space-group type**: No. 221
**Crystal system**: cubic



18.
Computed, not measured: a relaxed KBiS2 crystal at the GGA-PBEsol level of DFT.

Unit cell a=4.085 b=4.085 c=22.048 alpha=90.00 beta=90.00 gamma=120.00
Fractional coordinates of all 12 atoms:
K1 0.000 0.000 0.000
K2 0.333 0.667 0.667
K3 0.667 0.333 0.333
Bi1 0.000 0.000 0.500
Bi2 0.333 0.667 0.167
Bi3 0.667 0.333 0.833
S1 0.000 0.000 0.238
S2 0.000 0.000 0.762
S3 0.333 0.667 0.429
S4 0.333 0.667 0.904
S5 0.667 0.333 0.096
S6 0.667 0.333 0.571

**Formation energy without anion corrections**: -0.82 eV per atom
**M_tot**: 0.0 μB/cell
**Space-group type**: No. 166
**Crystal system**: trigonal



19.
Computed, not measured: a relaxed KBi3S5 crystal at the GGA-PBEsol level of DFT.

Unit cell a=16.306 b=4.053 c=17.609 alpha=90.00 beta=90.00 gamma=90.00
Fractional coordinates of all 36 atoms:
K1 0.027 0.250 0.218
K2 0.473 0.750 0.718
K3 0.527 0.250 0.282
K4 0.973 0.750 0.782
Bi1 0.092 0.750 0.442
Bi2 0.153 0.250 0.634
Bi3 0.240 0.750 0.807
Bi4 0.260 0.250 0.307
Bi5 0.347 0.750 0.134
Bi6 0.408 0.250 0.942
Bi7 0.592 0.750 0.058
Bi8 0.653 0.250 0.866
Bi9 0.740 0.750 0.693
Bi10 0.760 0.250 0.193
Bi11 0.847 0.750 0.366
Bi12 0.908 0.250 0.558
S1 0.030 0.750 0.601
S2 0.121 0.250 0.787
S3 0.144 0.750 0.298
S4 0.199 0.250 0.476
S5 0.236 0.250 0.158
S6 0.264 0.750 0.658
S7 0.301 0.750 0.976
S8 0.356 0.250 0.798
S9 0.379 0.750 0.287
S10 0.470 0.250 0.101
S11 0.530 0.750 0.899
S12 0.621 0.250 0.713
S13 0.644 0.750 0.202
S14 0.699 0.250 0.024
S15 0.736 0.250 0.342
S16 0.764 0.750 0.842
S17 0.801 0.750 0.524
S18 0.856 0.250 0.702
S19 0.879 0.750 0.213
S20 0.970 0.250 0.399

**Formation energy without anion corrections**: -0.57 eV per atom
**M_tot**: 0.0 μB/cell
**Space-group type**: No. 62
**Crystal system**: orthorhombic